Here is a relaxed structure of TaReAs2 from Alexandria via LeMat-Bulk. Energies are from PBE.

Calculated values
- N(E_F) (states/eV/cell) = 3.756
- calculated volume (Å³/atom) = 16.03
- energy relative to the lowest polymorph listed for this composition (eV per atom) = 0.000

abc: 8.9043 3.2367 4.6415
angles: 90.00 106.48 90.00
Last column: nearest neighbours and their distance in Å.
Space group Cm (No. 8)
Symmetry-distinct sites (fractional):
1 Ta 0.0000 0.0000 0.0000  7 As 2.58-2.85
2 Re 0.2393 0.0000 0.6378  7 As 2.58-2.87
3 As 0.0041 0.5000 0.4962  3 Re 2.58-2.62, 4 Ta 2.81-2.85
4 As 0.2423 0.5000 0.1498  3 Ta 2.58-2.63, 4 Re 2.79-2.87

Here is a relaxed structure of Y2ZnW2 from Alexandria via LeMat-Bulk. Energies are from PBE.

Calculated values
- N(E_F) (states/eV/cell) = 6.466
- calculated volume (Å³/atom) = 23.58
- energy relative to the lowest polymorph listed for this composition (eV per atom) = 0.000

abc: 3.7164 3.7164 17.0694
angles: 90.00 90.00 90.00
Last column: nearest neighbours and their distance in Å.
Space group I4/mmm (No. 139)
Symmetry-distinct sites (fractional):
1 Y 0.0000 0.0000 0.1042  4 W 3.11, 4 Zn 3.17
2 Zn 0.0000 0.0000 0.5000  8 Y 3.17
3 W 0.0000 0.5000 0.2500  4 W 2.63